This record from the Alexandria database describes crystalline Tc2HgRu at its relaxed geometry. The functional is PBE.

```
data_Tc2HgRu
_chemical_formula_sum 'Tc2 Hg1 Ru1'
_cell_length_a 2.818
_cell_length_b 4.037
_cell_length_c 5.628
_cell_angle_alpha 90.00
_cell_angle_beta 90.00
_cell_angle_gamma 90.00
_space_group_name_H-M_alt 'P 1'
_space_group_IT_number 1
loop_
_space_group_symop_operation_xyz
'x,y,z'
loop_
_atom_site_label
_atom_site_type_symbol
_atom_site_fract_x
_atom_site_fract_y
_atom_site_fract_z
Hg1 Hg 0.500 0.500 0.250
Ru1 Ru 0.500 0.500 0.750
Tc1 Tc 0.000 0.000 0.961
Tc2 Tc 0.000 0.000 0.539
```

## Properties
The value obtained for the density of states at the Fermi level is 4.0 states/eV per cell. As for the space-group type: Pmmm.

This record from the Alexandria database describes crystalline Eu2YTl at its relaxed geometry. The functional is PBE.

```
data_Eu2YTl
_chemical_formula_sum 'Eu2 Y1 Tl1'
_cell_length_a 3.759
_cell_length_b 3.759
_cell_length_c 9.712
_cell_angle_alpha 90.00
_cell_angle_beta 90.00
_cell_angle_gamma 90.00
_space_group_name_H-M_alt 'P 1'
_space_group_IT_number 1
loop_
_space_group_symop_operation_xyz
'x,y,z'
loop_
_atom_site_label
_atom_site_type_symbol
_atom_site_fract_x
_atom_site_fract_y
_atom_site_fract_z
Eu1 Eu 0.000 0.000 0.776
Eu2 Eu 0.000 0.000 0.224
Y1 Y 0.500 0.500 0.500
Tl1 Tl 0.500 0.500 0.000
```

## Properties
The value obtained for the density of states at the Fermi level is 4.8 states/eV per cell. As for the space-group type: P4/mmm.

This record from the Alexandria database describes crystalline Ti3NbRe at its relaxed geometry. The functional is PBE.

```
data_Ti3NbRe
_chemical_formula_sum 'Ti3 Nb1 Re1'
_cell_length_a 4.687
_cell_length_b 4.687
_cell_length_c 4.687
_cell_angle_alpha 90.00
_cell_angle_beta 90.00
_cell_angle_gamma 90.00
_space_group_name_H-M_alt 'P 1'
_space_group_IT_number 1
loop_
_space_group_symop_operation_xyz
'x,y,z'
loop_
_atom_site_label
_atom_site_type_symbol
_atom_site_fract_x
_atom_site_fract_y
_atom_site_fract_z
Re1 Re 0.000 0.000 0.000
Nb1 Nb 0.500 0.500 0.500
Ti1 Ti 0.000 0.500 0.000
Ti2 Ti 0.000 0.000 0.500
Ti3 Ti 0.500 0.000 0.000
```

## Properties
The value obtained for the density of states at the Fermi level is 6.4 states/eV per cell. As for the space-group type: Pm-3m.

This record from the Alexandria database describes crystalline Li3Ru2 at its relaxed geometry. The functional is PBE.

```
data_Li3Ru2
_chemical_formula_sum 'Li3 Ru2'
_cell_length_a 4.221
_cell_length_b 4.221
_cell_length_c 5.294
_cell_angle_alpha 90.00
_cell_angle_beta 90.00
_cell_angle_gamma 120.00
_space_group_name_H-M_alt 'P 1'
_space_group_IT_number 1
loop_
_space_group_symop_operation_xyz
'x,y,z'
loop_
_atom_site_label
_atom_site_type_symbol
_atom_site_fract_x
_atom_site_fract_y
_atom_site_fract_z
Li1 Li 0.000 0.000 0.000
Li2 Li 0.667 0.333 0.598
Li3 Li 0.333 0.667 0.402
Ru1 Ru 0.667 0.333 0.063
Ru2 Ru 0.333 0.667 0.937
```

## Properties
The value obtained for the density of states at the Fermi level is 3.2 states/eV per cell. As for the space-group type: P-3m1.

| no. | formation enthalpy at 0 K (meV/atom) | VASP energy (eV per atom) |
| --- | --- | --- |
| 1 | 388 | -7.19 |
| 2 | -134 | -7.48 |
| 3 | 795 | -8.45 |
| 4 | 359 | -4.50 |